A plane-wave DFT calculation with GGA-PBE was carried out for crystalline CaScRe at its relaxed geometry.

Calculated values
distance to the lowest polymorph of the same formula = 15.4 kJ/mol of atoms
total magnetization = 0.00 μB/f.u.
formation energy from the elements = 0.5187 eV per atom
total energy = -6.408 eV/atom

a = 3.3010 Å, b = 3.3010 Å, c = 7.4229 Å
α = 90.00°, β = 90.00°, γ = 120.00°
Space group P3m1 (No. 156)
Unique sites:
1 Ca 0.0000 0.0000 0.0000 x1
2 Sc 0.3333 0.6667 0.5560 x1
3 Re 0.6667 0.3333 0.3067 x1